# 1
# Tb2SmI, optimized geometry, DFT GGA-PBE
# Energy above the most stable polymorph in this dataset = 26 meV/atom
# Formation energy from raw total energies = -0.3358 eV/atom
# Crystal system = trigonal
data_Tb2SmI
_chemical_formula_sum 'Tb2 Sm1 I1'
_cell_length_a 10.7679
_cell_length_b 10.7679
_cell_length_c 10.7679
_cell_angle_alpha 20.22
_cell_angle_beta 20.22
_cell_angle_gamma 20.22
_space_group_name_H-M_alt 'P 1'
_space_group_IT_number 1
_space_group_name_Hall 'P 1'
loop_
_atom_site_label
_atom_site_type_symbol
_atom_site_fract_x
_atom_site_fract_y
_atom_site_fract_z
Tb1 Tb 0.0000 0.0000 0.0000
Tb2 Tb 0.1775 0.1775 0.1775
Sm1 Sm 0.4217 0.4217 0.4217
I1 I 0.5885 0.5885 0.5885

***

# 2
# TbSmI6, optimized geometry, DFT GGA-PBE
# Energy above the most stable polymorph in this dataset = 23 meV/atom
# Formation energy from raw total energies = -1.3391 eV/atom
# Crystal system = trigonal
data_TbSmI6
_chemical_formula_sum 'Tb1 Sm1 I6'
_cell_length_a 8.2507
_cell_length_b 8.2507
_cell_length_c 8.2507
_cell_angle_alpha 55.57
_cell_angle_beta 55.57
_cell_angle_gamma 55.57
_space_group_name_H-M_alt 'P 1'
_space_group_IT_number 1
_space_group_name_Hall 'P 1'
loop_
_atom_site_label
_atom_site_type_symbol
_atom_site_fract_x
_atom_site_fract_y
_atom_site_fract_z
Tb1 Tb 0.0000 0.0000 0.0000
Sm1 Sm 0.5000 0.5000 0.5000
I1 I 0.0870 0.7526 0.4085
I2 I 0.2474 0.5915 0.9130
I3 I 0.4085 0.0870 0.7526
I4 I 0.5915 0.9130 0.2474
I5 I 0.7526 0.4085 0.0870
I6 I 0.9130 0.2474 0.5915

***

# 3
# Tb2SmI, optimized geometry, DFT GGA-PBE
# Energy above the most stable polymorph in this dataset = 0 meV/atom
# Formation energy from raw total energies = -0.3616 eV/atom
# Crystal system = trigonal
data_Tb2SmI
_chemical_formula_sum 'Tb2 Sm1 I1'
_cell_length_a 10.7675
_cell_length_b 10.7675
_cell_length_c 10.7675
_cell_angle_alpha 20.08
_cell_angle_beta 20.08
_cell_angle_gamma 20.08
_space_group_name_H-M_alt 'P 1'
_space_group_IT_number 1
_space_group_name_Hall 'P 1'
loop_
_atom_site_label
_atom_site_type_symbol
_atom_site_fract_x
_atom_site_fract_y
_atom_site_fract_z
Tb1 Tb 0.2450 0.2450 0.2450
Tb2 Tb 0.7550 0.7550 0.7550
Sm1 Sm 0.0000 0.0000 0.0000
I1 I 0.5000 0.5000 0.5000

***

# 4
# Tb2Sm2I7, optimized geometry, DFT GGA-PBE
# Formation energy from raw total energies = -0.9616 eV/atom
# Crystal system = monoclinic
data_Tb2Sm2I7
_chemical_formula_sum 'Tb2 Sm2 I7'
_cell_length_a 8.1066
_cell_length_b 8.1066
_cell_length_c 8.1993
_cell_angle_alpha 91.45
_cell_angle_beta 91.45
_cell_angle_gamma 111.04
_space_group_name_H-M_alt 'P 1'
_space_group_IT_number 1
_space_group_name_Hall 'P 1'
loop_
_atom_site_label
_atom_site_type_symbol
_atom_site_fract_x
_atom_site_fract_y
_atom_site_fract_z
Tb1 Tb 0.1984 0.1984 0.3387
Tb2 Tb 0.8016 0.8016 0.6613
Sm1 Sm 0.1338 0.8662 0.0000
Sm2 Sm 0.8662 0.1338 0.0000
I1 I 0.0830 0.4863 0.2169
I2 I 0.1348 0.1348 0.7200
I3 I 0.4863 0.0830 0.2169
I4 I 0.5000 0.5000 0.5000
I5 I 0.5137 0.9170 0.7831
I6 I 0.8652 0.8652 0.2800
I7 I 0.9170 0.5137 0.7831

***

# 5
# TbSmI2, optimized geometry, DFT GGA-PBE
# Energy above the most stable polymorph in this dataset = 75 meV/atom
# Formation energy from raw total energies = -0.6945 eV/atom
# Crystal system = trigonal
data_TbSmI2
_chemical_formula_sum 'Tb1 Sm1 I2'
_cell_length_a 10.9854
_cell_length_b 10.9854
_cell_length_c 10.9854
_cell_angle_alpha 20.36
_cell_angle_beta 20.36
_cell_angle_gamma 20.36
_space_group_name_H-M_alt 'P 1'
_space_group_IT_number 1
_space_group_name_Hall 'P 1'
loop_
_atom_site_label
_atom_site_type_symbol
_atom_site_fract_x
_atom_site_fract_y
_atom_site_fract_z
Tb1 Tb 0.0000 0.0000 0.0000
Sm1 Sm 0.5000 0.5000 0.5000
I1 I 0.0963 0.0963 0.0963
I2 I 0.9037 0.9037 0.9037

***

# 6
# TbSm2I6, optimized geometry, DFT GGA-PBE
# Formation energy from raw total energies = -1.1921 eV/atom
# Crystal system = trigonal
data_TbSm2I6
_chemical_formula_sum 'Tb1 Sm2 I6'
_cell_length_a 8.3699
_cell_length_b 8.3699
_cell_length_c 8.3699
_cell_angle_alpha 54.30
_cell_angle_beta 54.30
_cell_angle_gamma 54.30
_space_group_name_H-M_alt 'P 1'
_space_group_IT_number 1
_space_group_name_Hall 'P 1'
loop_
_atom_site_label
_atom_site_type_symbol
_atom_site_fract_x
_atom_site_fract_y
_atom_site_fract_z
Tb1 Tb 0.0000 0.0000 0.0000
Sm1 Sm 0.1641 0.1641 0.1641
Sm2 Sm 0.3278 0.3278 0.3278
I1 I 0.0654 0.4267 0.7475
I2 I 0.2525 0.8987 0.5888
I3 I 0.4267 0.7475 0.0654
I4 I 0.5888 0.2525 0.8987
I5 I 0.7475 0.0654 0.4267
I6 I 0.8987 0.5888 0.2525

***

# 7
# TbSmTeI, optimized geometry, DFT GGA-PBE
# Formation energy from raw total energies = -1.0137 eV/atom
# Crystal system = cubic
data_TbSmTeI
_chemical_formula_sum 'Tb1 Sm1 Te1 I1'
_cell_length_a 5.3934
_cell_length_b 5.3934
_cell_length_c 5.3934
_cell_angle_alpha 60.00
_cell_angle_beta 60.00
_cell_angle_gamma 60.00
_space_group_name_H-M_alt 'P 1'
_space_group_IT_number 1
_space_group_name_Hall 'P 1'
loop_
_atom_site_label
_atom_site_type_symbol
_atom_site_fract_x
_atom_site_fract_y
_atom_site_fract_z
Tb1 Tb 0.0000 0.0000 0.0000
Sm1 Sm 0.5000 0.5000 0.5000
Te1 Te 0.2500 0.2500 0.2500
I1 I 0.7500 0.7500 0.7500

***

# 8
# Sm5Tc2I2, optimized geometry, DFT GGA-PBE
# Formation energy from raw total energies = -0.3891 eV/atom
# Crystal system = orthorhombic
data_Sm5Tc2I2
_chemical_formula_sum 'Sm10 Tc4 I4'
_cell_length_a 9.4491
_cell_length_b 9.4491
_cell_length_c 7.9723
_cell_angle_alpha 90.00
_cell_angle_beta 90.00
_cell_angle_gamma 49.98
_space_group_name_H-M_alt 'P 1'
_space_group_IT_number 1
_space_group_name_Hall 'P 1'
loop_
_atom_site_label
_atom_site_type_symbol
_atom_site_fract_x
_atom_site_fract_y
_atom_site_fract_z
Sm1 Sm 0.0000 0.0000 0.0000
Sm2 Sm 0.0510 0.7386 0.6553
Sm3 Sm 0.2386 0.5510 0.1553
Sm4 Sm 0.2614 0.9490 0.6553
Sm5 Sm 0.4490 0.7614 0.1553
Sm6 Sm 0.5000 0.5000 0.5000
Sm7 Sm 0.5510 0.2386 0.8447
Sm8 Sm 0.7386 0.0510 0.3447
Sm9 Sm 0.7614 0.4490 0.8447
Sm10 Sm 0.9490 0.2614 0.3447
Tc1 Tc 0.1385 0.8615 0.3622
Tc2 Tc 0.3615 0.6385 0.8622
Tc3 Tc 0.6385 0.3615 0.1378
Tc4 Tc 0.8615 0.1385 0.6378
I1 I 0.2164 0.2164 0.0000
I2 I 0.2836 0.2836 0.5000
I3 I 0.7164 0.7164 0.5000
I4 I 0.7836 0.7836 0.0000

***

# 9
# SmTeI, optimized geometry, DFT GGA-PBE
# Energy above the most stable polymorph in this dataset = 198 meV/atom
# Formation energy from raw total energies = -1.2251 eV/atom
# Crystal system = orthorhombic
data_SmTeI
_chemical_formula_sum 'Sm2 Te2 I2'
_cell_length_a 8.1297
_cell_length_b 8.1297
_cell_length_c 8.1297
_cell_angle_alpha 149.84
_cell_angle_beta 129.31
_cell_angle_gamma 60.13
_space_group_name_H-M_alt 'P 1'
_space_group_IT_number 1
_space_group_name_Hall 'P 1'
loop_
_atom_site_label
_atom_site_type_symbol
_atom_site_fract_x
_atom_site_fract_y
_atom_site_fract_z
Sm1 Sm 0.1435 0.1435 0.0000
Sm2 Sm 0.8565 0.8565 0.0000
Te1 Te 0.2972 0.7972 0.5000
Te2 Te 0.7028 0.2028 0.5000
I1 I 0.2466 0.5000 0.7466
I2 I 0.7534 0.5000 0.2534

***

# 10
# Sm4Te3I, optimized geometry, DFT GGA-PBE
# Formation energy from raw total energies = -1.1977 eV/atom
# Crystal system = trigonal
data_Sm4Te3I
_chemical_formula_sum 'Sm4 Te3 I1'
_cell_length_a 14.6364
_cell_length_b 14.6364
_cell_length_c 14.6364
_cell_angle_alpha 17.68
_cell_angle_beta 17.68
_cell_angle_gamma 17.68
_space_group_name_H-M_alt 'P 1'
_space_group_IT_number 1
_space_group_name_Hall 'P 1'
loop_
_atom_site_label
_atom_site_type_symbol
_atom_site_fract_x
_atom_site_fract_y
_atom_site_fract_z
Sm1 Sm 0.1186 0.1186 0.1186
Sm2 Sm 0.3768 0.3768 0.3768
Sm3 Sm 0.6232 0.6232 0.6232
Sm4 Sm 0.8814 0.8814 0.8814
Te1 Te 0.0000 0.0000 0.0000
Te2 Te 0.2514 0.2514 0.2514
Te3 Te 0.7486 0.7486 0.7486
I1 I 0.5000 0.5000 0.5000

***

# 11
# Sm3TeI7, optimized geometry, DFT GGA-PBE
# Formation energy from raw total energies = -1.3981 eV/atom
# Crystal system = trigonal
data_Sm3TeI7
_chemical_formula_sum 'Sm3 Te1 I7'
_cell_length_a 8.9860
_cell_length_b 8.9860
_cell_length_c 7.4598
_cell_angle_alpha 90.00
_cell_angle_beta 90.00
_cell_angle_gamma 120.00
_space_group_name_H-M_alt 'P 1'
_space_group_IT_number 1
_space_group_name_Hall 'P 1'
loop_
_atom_site_label
_atom_site_type_symbol
_atom_site_fract_x
_atom_site_fract_y
_atom_site_fract_z
Sm1 Sm 0.1724 0.3447 0.0000
Sm2 Sm 0.1724 0.8276 0.0000
Sm3 Sm 0.6553 0.8276 0.0000
Te1 Te 0.3333 0.6667 0.2344
I1 I 0.0000 0.0000 0.7513
I2 I 0.0080 0.5040 0.7556
I3 I 0.3251 0.1626 0.2258
I4 I 0.4960 0.5040 0.7556
I5 I 0.4960 0.9920 0.7556
I6 I 0.8374 0.1626 0.2258
I7 I 0.8374 0.6749 0.2258

***

# 12
# SmTeI, optimized geometry, DFT GGA-PBE
# Energy above the most stable polymorph in this dataset = 43 meV/atom
# Formation energy from raw total energies = -1.3797 eV/atom
# Crystal system = trigonal
data_SmTeI
_chemical_formula_sum 'Sm1 Te1 I1'
_cell_length_a 4.4776
_cell_length_b 4.4776
_cell_length_c 7.4145
_cell_angle_alpha 90.00
_cell_angle_beta 90.00
_cell_angle_gamma 120.00
_space_group_name_H-M_alt 'P 1'
_space_group_IT_number 1
_space_group_name_Hall 'P 1'
loop_
_atom_site_label
_atom_site_type_symbol
_atom_site_fract_x
_atom_site_fract_y
_atom_site_fract_z
Sm1 Sm 0.0000 0.0000 0.0000
Te1 Te 0.3333 0.6667 0.7820
I1 I 0.6667 0.3333 0.2686

***

The lowest formation energy from raw total energies belongs to which entry?
Sm3TeI7

***

Please write out number 3 again, unchanged.
# Tb2SmI, optimized geometry, DFT GGA-PBE
# Energy above the most stable polymorph in this dataset = 0 meV/atom
# Formation energy from raw total energies = -0.3616 eV/atom
# Crystal system = trigonal
data_Tb2SmI
_chemical_formula_sum 'Tb2 Sm1 I1'
_cell_length_a 10.7675
_cell_length_b 10.7675
_cell_length_c 10.7675
_cell_angle_alpha 20.08
_cell_angle_beta 20.08
_cell_angle_gamma 20.08
_space_group_name_H-M_alt 'P 1'
_space_group_IT_number 1
_space_group_name_Hall 'P 1'
loop_
_atom_site_label
_atom_site_type_symbol
_atom_site_fract_x
_atom_site_fract_y
_atom_site_fract_z
Tb1 Tb 0.2450 0.2450 0.2450
Tb2 Tb 0.7550 0.7550 0.7550
Sm1 Sm 0.0000 0.0000 0.0000
I1 I 0.5000 0.5000 0.5000

***

Among the records above, which one has the highest formation energy from raw total energies?
number 1

***

What is the formation energy from raw total energies in the fourth record?
-0.9616 eV/atom